1.
Material: Pr2Sm6Er5
Method: DFT, PBE
State: optimized geometry

The structure belongs to space group Pbam (No. 55); the cell edges are 11.7952, 20.3766 and 3.6260 Å and the angles 90.00°, 90.00° and 90.00°. The asymmetric unit holds Pr at (0.1661, 0.2163, 0.0000), Sm at (0.0588, 0.9229, 0.0000), Sm at (0.0795, 0.6353, 0.0000), Sm at (0.1774, 0.3744, 0.5000), Er at (0.0000, 0.5000, 0.5000), Er at (0.0947, 0.7784, 0.5000) and Er at (0.1996, 0.0542, 0.5000).

As for the crystal system: orthorhombic. For the formation enthalpy at 0 K, the calculation gives 0.10 eV/atom.



2.
Material: Ac4NiOsBr2
Method: DFT, PBE
State: optimized geometry

The structure belongs to space group P2/m (No. 10); the cell edges are 7.4443, 4.3314 and 8.6476 Å and the angles 90.00°, 106.69° and 90.00°. The asymmetric unit holds Ac at (0.2264, 0.0000, 0.1967), Ac at (0.2663, 0.5000, 0.8085), Ni at (0.5000, 0.0000, 0.0000), Os at (0.0000, 0.5000, 0.0000), Br at (0.0000, 0.0000, 0.5000) and Br at (0.5000, 0.5000, 0.5000).

The formation energy without anion corrections comes out at -827 meV per atom. As for the crystal system: monoclinic.



3.
Material: Ir4Os5
Method: DFT, PBE
State: optimized geometry

The structure belongs to space group Immm (No. 71); the cell edges are 2.7320, 8.2094 and 11.5723 Å and the angles 90.00°, 90.00° and 90.00°. The asymmetric unit holds Ir at (0.0000, 0.0000, 0.1712), Ir at (0.0000, 0.3284, 0.5000), Os at (0.0000, 0.0000, 0.5000) and Os at (0.0000, 0.3339, 0.1661).

For the energy above the lowest structure with this stoichiometry, the calculation gives 13 meV per atom. As for the crystal system: orthorhombic. For the formation enthalpy at 0 K, the calculation gives 0.05 eV/atom.



no.,total magnetization (μB/cell),energy (eV per cell)
1,0.00,-118.744
2,0.00,-43.410
3,0.00,-182.262